1.
{
  "formula": "BaCoCl4",
  "functional": "PBE",
  "state": "relaxed",
  "cell": [[-2.9045, -0.1397, 5.3536], [-0.0424, 4.9350, 3.5722], [-5.1481, 3.1689, 0.7562]],
  "species": ["Ba", "Co", "Cl", "Cl", "Cl", "Cl"],
  "frac_coords": [[0.0000, 0.0000, 0.0000], [0.7500, 0.7500, 0.7500], [0.8730, 0.3757, 0.3757], [0.3757, 0.3757, 0.8730], [0.3757, 0.8730, 0.3757], [0.3757, 0.3757, 0.3757]],
  "energy_ev_per_cell": -17.23,
  "relative_energy_ev_per_fu": 8.45,
  "raw_formation_energy_ev_per_atom": -0.135
}

---

2.
{
  "formula": "BaCoCl2",
  "functional": "PBE",
  "state": "relaxed",
  "cell": [[-2.4862, 0.1612, 5.4532], [0.5273, -2.5203, 5.4143], [2.9832, 3.3487, 0.2651]],
  "species": ["Co", "Ba", "Cl", "Cl"],
  "frac_coords": [[0.5254, 0.5254, 0.8042], [0.2952, 0.2952, 0.1560], [0.9863, 0.9863, 0.9497], [0.6931, 0.6931, 0.5902]],
  "energy_ev_per_cell": -16.53,
  "relative_energy_ev_per_fu": 0.25,
  "raw_formation_energy_ev_per_atom": -0.953
}

---

3.
{
  "formula": "BaCoCl2",
  "functional": "PBE",
  "state": "relaxed",
  "cell": [[-2.3881, 1.0312, -3.2901], [-3.7148, -1.4628, 2.2379], [-2.5849, 4.3231, 3.2312]],
  "species": ["Co", "Ba", "Cl", "Cl"],
  "frac_coords": [[0.0000, 0.3226, 0.4795], [0.5000, 0.6837, 0.7574], [0.0000, 0.1085, 0.9073], [0.5000, 0.3852, 0.3558]],
  "energy_ev_per_cell": -16.78,
  "relative_energy_ev_per_fu": 0.00,
  "raw_formation_energy_ev_per_atom": -1.015
}

---

4.
{
  "formula": "BaCoCl6",
  "functional": "PBE",
  "state": "relaxed",
  "cell": [[5.8217, 0.2308, -1.0182], [3.0933, 6.3274, -0.7621], [2.0019, 1.9173, 5.3451]],
  "species": ["Ba", "Co", "Cl", "Cl", "Cl", "Cl", "Cl", "Cl"],
  "frac_coords": [[0.5000, 0.5000, 0.5000], [0.0000, 0.0000, 0.0000], [0.0359, 0.3053, 0.7368], [0.8396, 0.9577, 0.7273], [0.5978, 0.2301, 0.0958], [0.1604, 0.0423, 0.2727], [0.9641, 0.6947, 0.2632], [0.4022, 0.7699, 0.9042]],
  "energy_ev_per_cell": -29.33,
  "raw_formation_energy_ev_per_atom": -1.153
}

---

5.
{
  "formula": "Ba3Co5Cl12",
  "functional": "PBE",
  "state": "relaxed",
  "cell": [[-4.9208, 0.4205, -12.8066], [9.3075, -10.0387, 0.9978], [-10.2784, -2.4018, 8.7742]],
  "species": ["Ba", "Ba", "Ba", "Ba", "Ba", "Ba", "Ba", "Ba", "Ba", "Ba", "Ba", "Ba", "Co", "Co", "Co", "Co", "Co", "Co", "Co", "Co", "Co", "Co", "Co", "Co", "Co", "Co", "Co", "Co", "Co", "Co", "Co", "Co", "Cl", "Cl", "Cl", "Cl", "Cl", "Cl", "Cl", "Cl", "Cl", "Cl", "Cl", "Cl", "Cl", "Cl", "Cl", "Cl", "Cl", "Cl", "Cl", "Cl", "Cl", "Cl", "Cl", "Cl", "Cl", "Cl", "Cl", "Cl", "Cl", "Cl", "Cl", "Cl", "Cl", "Cl", "Cl", "Cl", "Cl", "Cl", "Cl", "Cl", "Cl", "Cl", "Cl", "Cl", "Cl", "Cl", "Cl", "Cl"],
  "frac_coords": [[0.7500, 0.3750, 0.1250], [0.8750, 0.7500, 0.1250], [0.3750, 0.7500, 0.6250], [0.2500, 0.1250, 0.3750], [0.8750, 0.1250, 0.2500], [0.3750, 0.6250, 0.2500], [0.6250, 0.3750, 0.7500], [0.1250, 0.8750, 0.7500], [0.7500, 0.8750, 0.6250], [0.6250, 0.2500, 0.3750], [0.1250, 0.2500, 0.8750], [0.2500, 0.6250, 0.8750], [0.1250, 0.3750, 0.2500], [0.0000, 0.5000, 0.0000], [0.0000, 0.0000, 0.0000], [0.3750, 0.2500, 0.1250], [0.5000, 0.0000, 0.5000], [0.5000, 0.5000, 0.0000], [0.1250, 0.7500, 0.3750], [0.7500, 0.1250, 0.8750], [0.7500, 0.6250, 0.3750], [0.3750, 0.1250, 0.7500], [0.6250, 0.8750, 0.2500], [0.5000, 0.5000, 0.5000], [0.5000, 0.0000, 0.0000], [0.0000, 0.0000, 0.5000], [0.2500, 0.3750, 0.6250], [0.2500, 0.8750, 0.1250], [0.0000, 0.5000, 0.5000], [0.8750, 0.2500, 0.6250], [0.6250, 0.7500, 0.8750], [0.8750, 0.6250, 0.7500], [0.6973, 0.1100, 0.0162], [0.3189, 0.5162, 0.4062], [0.9838, 0.3900, 0.3027], [0.5162, 0.1973, 0.1100], [0.5873, 0.6973, 0.6811], [0.9838, 0.5938, 0.1811], [0.3189, 0.8027, 0.4127], [0.0938, 0.9127, 0.1100], [0.5938, 0.9838, 0.6811], [0.6973, 0.5873, 0.1811], [0.8027, 0.4838, 0.3900], [0.8189, 0.9062, 0.0162], [0.1100, 0.6973, 0.5162], [0.3900, 0.4062, 0.0873], [0.0873, 0.9062, 0.3900], [0.4127, 0.1100, 0.5938], [0.0873, 0.1811, 0.1973], [0.4838, 0.6811, 0.0938], [0.8189, 0.9127, 0.3027], [0.1100, 0.4127, 0.0938], [0.3900, 0.9838, 0.8027], [0.5938, 0.6100, 0.4127], [0.9062, 0.8189, 0.5162], [0.8027, 0.3189, 0.9127], [0.4062, 0.3900, 0.5873], [0.0938, 0.1811, 0.4838], [0.1973, 0.6811, 0.0873], [0.1811, 0.0873, 0.6973], [0.6100, 0.0162, 0.1973], [0.8900, 0.5873, 0.9062], [0.5162, 0.3189, 0.9062], [0.5873, 0.8900, 0.4062], [0.9127, 0.8189, 0.8027], [0.9127, 0.0938, 0.6100], [0.8900, 0.3027, 0.4838], [0.1811, 0.0938, 0.9838], [0.6100, 0.5938, 0.9127], [0.4062, 0.0162, 0.3189], [0.3027, 0.4127, 0.8189], [0.1973, 0.5162, 0.6100], [0.9062, 0.0873, 0.8900], [0.6811, 0.1973, 0.5873], [0.4838, 0.8027, 0.8900], [0.0162, 0.4062, 0.8189], [0.4127, 0.3027, 0.3189], [0.0162, 0.6100, 0.6973], [0.6811, 0.4838, 0.5938], [0.3027, 0.8900, 0.9838]],
  "energy_ev_per_cell": -345.84,
  "raw_formation_energy_ev_per_atom": -1.150
}

---

6.
{
  "formula": "BaCoCl2",
  "functional": "PBE",
  "state": "relaxed",
  "cell": [[3.0561, 0.0000, 5.8978], [-1.5281, 2.6467, 5.8978], [-1.5281, -2.6467, 5.8978]],
  "species": ["Co", "Ba", "Cl", "Cl"],
  "frac_coords": [[0.0000, 0.0000, 0.0000], [0.5000, 0.5000, 0.5000], [0.8804, 0.8804, 0.8804], [0.1196, 0.1196, 0.1196]],
  "energy_ev_per_cell": -16.37,
  "relative_energy_ev_per_fu": 0.41,
  "raw_formation_energy_ev_per_atom": -0.913
}

---

7.
{
  "formula": "BaCo2Cl",
  "functional": "PBE",
  "state": "relaxed",
  "cell": [[6.1895, 0.0159, -0.2172], [5.1022, 3.5040, -0.2172], [-1.7493, -0.5453, 4.8382]],
  "species": ["Co", "Co", "Ba", "Cl"],
  "frac_coords": [[0.9612, 0.9612, 0.1199], [0.5388, 0.5388, 0.3801], [0.2500, 0.2500, 0.2500], [0.7500, 0.7500, 0.7500]],
  "energy_ev_per_cell": -18.13,
  "relative_energy_ev_per_fu": 0.48,
  "raw_formation_energy_ev_per_atom": -0.037
}

---

8.
{
  "formula": "BaCo2Cl",
  "functional": "PBE",
  "state": "relaxed",
  "cell": [[3.8975, 1.1242, 0.0000], [-1.1244, 3.8974, 0.0000], [0.0000, 0.0000, 6.0808]],
  "species": ["Co", "Co", "Ba", "Cl"],
  "frac_coords": [[0.0000, 0.0000, 0.0000], [0.5000, 0.5000, 0.0000], [0.5000, 0.0000, 0.5000], [0.0000, 0.5000, 0.5000]],
  "energy_ev_per_cell": -16.90,
  "relative_energy_ev_per_fu": 1.71,
  "raw_formation_energy_ev_per_atom": 0.269
}

---

9.
{
  "formula": "Ba2CoCl",
  "functional": "PBE",
  "state": "relaxed",
  "cell": [[-3.1510, 2.9752, -3.4344], [-3.0533, -2.5379, -3.8487], [-5.5066, -0.1340, 0.4847]],
  "species": ["Co", "Ba", "Ba", "Cl"],
  "frac_coords": [[0.7500, 0.7500, 0.7500], [0.0000, 0.0000, 0.0000], [0.2500, 0.2500, 0.2500], [0.5000, 0.5000, 0.5000]],
  "energy_ev_per_cell": -12.19,
  "relative_energy_ev_per_fu": 2.90,
  "raw_formation_energy_ev_per_atom": 0.152
}

---

10.
{
  "formula": "BaCo2Cl",
  "functional": "PBE",
  "state": "relaxed",
  "cell": [[7.8071, 0.0293, 0.0177], [6.7666, 3.8943, 0.0177], [6.7666, 1.8217, 3.4419]],
  "species": ["Co", "Co", "Ba", "Cl"],
  "frac_coords": [[0.9588, 0.9588, 0.9588], [0.2788, 0.2788, 0.2788], [0.5088, 0.5088, 0.5088], [0.7537, 0.7537, 0.7537]],
  "energy_ev_per_cell": -18.31,
  "relative_energy_ev_per_fu": 0.31,
  "raw_formation_energy_ev_per_atom": -0.081
}

---

11.
{
  "formula": "Ba2CoCl",
  "functional": "PBE",
  "state": "relaxed",
  "cell": [[6.3590, 0.0186, -0.0096], [5.0945, 3.8057, -0.0096], [0.0065, 0.0022, 5.1292]],
  "species": ["Co", "Ba", "Ba", "Cl"],
  "frac_coords": [[0.7566, 0.7566, 0.8751], [0.9847, 0.9847, 0.8749], [0.2470, 0.2470, 0.3752], [0.5117, 0.5117, 0.3748]],
  "energy_ev_per_cell": -14.82,
  "relative_energy_ev_per_fu": 0.27,
  "raw_formation_energy_ev_per_atom": -0.506
}

---

12.
{
  "formula": "BaCo3Cl",
  "functional": "PBE",
  "state": "relaxed",
  "cell": [[5.1027, 0.0000, 0.0000], [0.0000, 5.1027, 0.0000], [0.0000, 0.0000, 5.1027]],
  "species": ["Co", "Co", "Co", "Ba", "Cl"],
  "frac_coords": [[0.0000, 0.5000, 0.0000], [0.0000, 0.0000, 0.5000], [0.5000, 0.0000, 0.0000], [0.0000, 0.0000, 0.0000], [0.5000, 0.5000, 0.5000]],
  "energy_ev_per_cell": -14.69,
  "relative_energy_ev_per_fu": 6.56,
  "raw_formation_energy_ev_per_atom": 2.080
}